1.
## Pr4AlZn2Ga (PBE)

Data for Pr4AlZn2Ga after structural relaxation.

Output
* E: -94.345 eV/cell
* N(E_F): 8.582 states/eV/f.u.
* magnetic moment: 0.000 μB/atom

a b c (Å): 5.2833 5.2833 25.8661
angles (deg): 90.00 90.00 120.00
Space group R-3m (No. 166, hexagonal axes)
Symmetry-distinct sites (fractional):
Pr: 0.0000 0.0000 0.1238
Pr: 0.0000 0.0000 0.3739
Al: 0.0000 0.0000 0.5000
Zn: 0.0000 0.0000 0.2476
Ga: 0.0000 0.0000 0.0000



2.
## Pr3AlZn6Ga2 (PBE)

Data for Pr3AlZn6Ga2 after structural relaxation.

Output
* E: -34.241 eV/cell
* N(E_F): 7.374 states/eV/f.u.
* magnetic moment: 0.000 μB/atom

a b c (Å): 6.0819 6.0819 8.2130
angles (deg): 90.00 90.00 120.00
Space group P-3m1 (No. 164)
Symmetry-distinct sites (fractional):
Pr: 0.0000 0.0000 0.0000
Pr: 0.3333 0.6667 0.6500
Al: 0.0000 0.0000 0.5000
Zn: 0.1876 0.3753 0.2981
Ga: 0.3333 0.6667 0.0298



3.
## Pr2Al4ZnGa3 (PBE)

Data for Pr2Al4ZnGa3 after structural relaxation.

Output
* E: -39.023 eV/cell
* N(E_F): 4.763 states/eV/f.u.
* magnetic moment: 0.000 μB/atom

a b c (Å): 4.309 4.309 10.879
angles (deg): 90.00 90.00 90.00
Space group P-4m2 (No. 115)
Symmetry-distinct sites (fractional):
Pr: 0.000 0.500 0.245
Al: 0.000 0.000 0.500
Al: 0.000 0.500 0.869
Al: 0.500 0.500 0.500
Zn: 0.500 0.500 0.000
Ga: 0.000 0.000 0.000
Ga: 0.000 0.500 0.638



4.
## Al2Ga2Pt (PBE)

Data for Al2Ga2Pt after structural relaxation.

Output
* N(E_F): 1.954 states/eV/f.u.
* magnetic moment: 0.000 μB/atom
* energy above the most stable polymorph in this dataset: 146 meV/atom

a b c (Å): 3.486 3.486 14.448
angles (deg): 90.00 90.00 90.00
Space group I4/mmm (No. 139)
Symmetry-distinct sites (fractional):
Al: 0.000 0.000 0.091
Ga: 0.000 0.500 0.250
Pt: 0.000 0.000 0.500



5.
## AlGa2Pt (PBE)

Data for AlGa2Pt after structural relaxation.

Output
* E: -49.787 eV/cell
* N(E_F): 2.296 states/eV/f.u.
* magnetic moment: 0.000 μB/atom

a b c (Å): 2.9945 2.9945 27.4654
angles (deg): 90.00 90.00 120.00
Space group R-3m (No. 166, hexagonal axes)
Symmetry-distinct sites (fractional):
Al: 0.0000 0.0000 0.0000
Ga: 0.0000 0.0000 0.0939
Pt: 0.0000 0.0000 0.5000



6.
## Al3GaPt2 (PBE)

Data for Al3GaPt2 after structural relaxation.

Output
* E: -61.674 eV/cell
* N(E_F): 2.432 states/eV/f.u.
* magnetic moment: 0.000 μB/atom

a b c (Å): 3.912 8.072 6.092
angles (deg): 90.00 90.00 90.00
Space group Pmc2_1 (No. 26)
Symmetry-distinct sites (fractional):
Al: 0.000 0.087 0.000
Al: 0.000 0.294 0.398
Al: 0.500 0.205 0.705
Ga: 0.500 0.409 0.109
Pt: 0.000 0.393 0.795
Pt: 0.500 0.099 0.312



7.
## AlGa8Pt2 (PBE)

Data for AlGa8Pt2 after structural relaxation.

Output
* E: -85.141 eV/cell
* N(E_F): 3.219 states/eV/f.u.
* magnetic moment: 0.000 μB/atom

a b c (Å): 11.272 7.406 5.173
angles (deg): 90.00 106.32 90.00
Space group C2/m (No. 12)
Symmetry-distinct sites (fractional):
Al: 0.000 0.000 0.000
Ga: 0.090 0.500 0.854
Ga: 0.103 0.297 0.379
Ga: 0.191 0.000 0.794
Pt: 0.211 0.000 0.318



8.
## Al3GaPt (PBE)

Data for Al3GaPt after structural relaxation.

Output
* N(E_F): 2.564 states/eV/f.u.
* magnetic moment: 0.000 μB/atom
* energy above the most stable polymorph in this dataset: 0 meV/atom

a b c (Å): 4.785 4.785 4.785
angles (deg): 90.00 90.00 90.00
Space group Pm-3m (No. 221)
Symmetry-distinct sites (fractional):
Al: 0.000 0.000 0.500
Ga: 0.500 0.500 0.500
Pt: 0.000 0.000 0.000